The following is a PBE calculation of a relaxed VTeSeI2 crystal, from the Alexandria database.

```
5
Lattice="5.2112 0.0000 0.0000 0.0000 5.2112 0.0000 0.0000 0.0000 5.3643" Properties=species:S:1:pos:R:3 pbc="T T T"
V 0.0000 0.0000 0.0000
Te 0.0000 0.0000 2.6822
Se 2.6056 2.6056 2.6822
I 0.0000 2.6056 0.0000
I 2.6056 0.0000 0.0000
```

Values from the calculation:
Its symmetry is No. 123. For the uncorrected formation energy, the calculation gives 0.38 eV per atom. The crystal system is tetragonal.

The following is a PBE calculation of a relaxed TeWSeI2 crystal, from the Alexandria database.

```
5
Lattice="5.3714 0.0000 0.0000 0.0000 5.3714 0.0000 0.0000 0.0000 5.3018" Properties=species:S:1:pos:R:3 pbc="T T T"
Te 0.0000 0.0000 0.0000
W 0.0000 0.0000 2.6509
Se 2.6857 2.6857 0.0000
I 0.0000 2.6857 2.6509
I 2.6857 0.0000 2.6509
```

Values from the calculation:
Its symmetry is No. 123. For the uncorrected formation energy, the calculation gives 0.75 eV per atom. The crystal system is tetragonal.